1.
Here is a relaxed structure of SrPm2Ge from the Alexandria database. Energies are from PBE.

Output
Energy above the lowest structure with this stoichiometry, meV per atom: 107
E_form, eV per atom: -0.180
Calculated volume, Å³ per cell: 117.67

Unit cell a=4.923 b=4.923 c=4.855 alpha=90.00 beta=90.00 gamma=90.00
Positions (direct):
Sr (0.000, 0.000, 0.000)
Pm (0.000, 0.500, 0.500)
Pm (0.500, 0.000, 0.500)
Ge (0.500, 0.500, 0.000)

2.
Here is a relaxed structure of PaAs2Au from the Alexandria database. Energies are from PBE.

Output
E_form, eV per atom: -0.330
Calculated volume, Å³ per cell: 124.56

Unit cell a=7.965 b=7.965 c=7.965 alpha=31.79 beta=31.79 gamma=31.79
Positions (direct):
Pa (0.000, 0.000, 0.000)
As (0.393, 0.393, 0.393)
As (0.607, 0.607, 0.607)
Au (0.500, 0.500, 0.500)

3.
Here is a relaxed structure of Ac2La5PrEr from the Alexandria database. Energies are from PBE.

Output
E_form, eV per atom: 0.308
Calculated volume, Å³ per cell: 690.89

Unit cell a=10.322 b=10.322 c=10.322 alpha=126.27 beta=126.27 gamma=79.45
Positions (direct):
Ac (0.125, 0.625, 0.750)
Ac (0.375, 0.125, 0.500)
Ac (0.625, 0.875, 0.500)
Ac (0.875, 0.375, 0.250)
La (0.000, 0.000, 0.000)
La (0.058, 0.150, 0.500)
La (0.150, 0.650, 0.092)
La (0.350, 0.442, 0.500)
La (0.442, 0.942, 0.092)
La (0.500, 0.500, 0.000)
La (0.558, 0.058, 0.908)
La (0.650, 0.558, 0.500)
La (0.850, 0.350, 0.908)
La (0.942, 0.850, 0.500)
Pr (0.250, 0.250, 0.000)
Pr (0.750, 0.750, 0.000)
Er (0.250, 0.750, 0.500)
Er (0.750, 0.250, 0.500)

4.
Here is a relaxed structure of GaRe from the Alexandria database. Energies are from PBE.

Output
E_form, eV per atom: 0.876
Calculated volume, Å³ per cell: 130.99

Unit cell a=5.079 b=5.079 c=5.078 alpha=90.00 beta=90.00 gamma=90.00
Positions (direct):
Ga (0.192, 0.192, 0.000)
Ga (0.308, 0.692, 0.500)
Ga (0.692, 0.308, 0.500)
Ga (0.808, 0.808, 0.000)
Re (0.183, 0.183, 0.500)
Re (0.317, 0.683, 0.000)
Re (0.683, 0.317, 0.000)
Re (0.817, 0.817, 0.500)

5.
Here is a relaxed structure of Ba2ScMn2 from the Alexandria database. Energies are from PBE.

Output
E_form, eV per atom: 0.924
Calculated volume, Å³ per cell: 156.42

Unit cell a=7.768 b=7.768 c=7.768 alpha=144.60 beta=144.60 gamma=50.92
Positions (direct):
Ba (0.250, 0.750, 0.500)
Ba (0.750, 0.250, 0.500)
Sc (0.000, 0.000, 0.000)
Mn (0.417, 0.417, 0.000)
Mn (0.583, 0.583, 0.000)

6.
Here is a relaxed structure of Nd3Al2ZnPd9 from the Alexandria database. Energies are from PBE.

Output
E_form, eV per atom: -0.604
Calculated volume, Å³ per cell: 315.34

Unit cell a=5.782 b=5.782 c=10.893 alpha=90.00 beta=90.00 gamma=120.00
Positions (direct):
Nd (0.000, 0.000, 0.000)
Nd (0.333, 0.667, 0.601)
Nd (0.667, 0.333, 0.399)
Al (0.333, 0.667, 0.165)
Al (0.667, 0.333, 0.835)
Zn (0.000, 0.000, 0.500)
Pd (0.000, 0.500, 0.000)
Pd (0.165, 0.329, 0.325)
Pd (0.165, 0.835, 0.325)
Pd (0.329, 0.165, 0.675)
Pd (0.500, 0.000, 0.000)
Pd (0.500, 0.500, 0.000)
Pd (0.671, 0.835, 0.325)
Pd (0.835, 0.165, 0.675)
Pd (0.835, 0.671, 0.675)